A geometry-optimized Ta2CdOs structure, computed with GGA-PBE.

Cell: 5.212 5.212 5.212 Å, 134.98 134.98 65.56°
Positions (direct):
Ta (0.000, 0.000, 0.000)
Ta (0.750, 0.250, 0.500)
Cd (0.250, 0.750, 0.500)
Os (0.500, 0.500, 0.000)

## Properties
- formation energy (meV/atom) = 265
- D(E_F) (states/eV/atom) = 0.81
- E (eV/atom) = -8.70
- symmetry = I-4m2
- density (g/cm³) = 15.812

---

A geometry-optimized YGeRu structure, computed with GGA-PBE.

Cell: 5.621 5.621 5.621 Å, 134.70 101.11 95.97°
Positions (direct):
Y (0.000, 0.000, 0.000)
Y (0.618, 0.118, 0.500)
Ge (0.006, 0.710, 0.297)
Ge (0.413, 0.710, 0.703)
Ru (0.212, 0.385, 0.827)
Ru (0.558, 0.385, 0.173)

## Properties
- formation energy (meV/atom) = -590
- D(E_F) (states/eV/atom) = 0.52
- E (eV/atom) = -7.38
- symmetry = Imm2
- density (g/cm³) = 7.496